Mn2AuCl after structural relaxation, computed with PBE-GGA.

As for the uncorrected formation energy: 47 meV per atom. For the energy above the most stable polymorph in this dataset, the calculation gives 133 meV/atom.

Cell: 6.6279 6.6279 6.6279 Å, 153.06 143.29 46.12°
Fractional positions:
Mn 0.0000 0.0000 0.0000
Mn 0.8029 0.3029 0.5000
Au 0.4384 0.4384 0.0000
Cl 0.1734 0.6734 0.5000

MnAuCl5 after structural relaxation, computed with PBE-GGA.

As for the uncorrected formation energy: -580 meV per atom.

Cell: 6.7722 7.4378 8.6792 Å, 113.25 107.25 94.15°
Fractional positions:
Mn 0.0000 0.0000 0.0000
Mn 0.0000 0.5000 0.5000
Au 0.4467 0.4633 0.1507
Au 0.5533 0.5367 0.8493
Cl 0.1124 0.2719 0.9506
Cl 0.1313 0.7954 0.7729
Cl 0.2329 0.3332 0.6305
Cl 0.2502 0.6220 0.4278
Cl 0.3113 0.0427 0.1986
Cl 0.6887 0.9573 0.8014
Cl 0.7498 0.3780 0.5722
Cl 0.7671 0.6668 0.3695
Cl 0.8687 0.2046 0.2271
Cl 0.8876 0.7281 0.0494

Mn4AuCl after structural relaxation, computed with PBE-GGA.

As for the uncorrected formation energy: 672 meV per atom.

Cell: 5.3815 5.3815 5.3815 Å, 60.00 60.00 60.00°
Fractional positions:
Mn 0.1242 0.1242 0.1242
Mn 0.1242 0.1242 0.6275
Mn 0.1242 0.6275 0.1242
Mn 0.6275 0.1242 0.1242
Au 0.7500 0.7500 0.7500
Cl 0.5000 0.5000 0.5000

Mn2AuCl2 after structural relaxation, computed with PBE-GGA.

As for the uncorrected formation energy: -32 meV per atom. For the energy above the most stable polymorph in this dataset, the calculation gives 0 meV/atom.

Cell: 6.5223 6.5223 6.5223 Å, 142.49 142.49 54.09°
Fractional positions:
Mn 0.1197 0.1197 0.0000
Mn 0.8803 0.8803 0.0000
Au 0.5000 0.5000 0.0000
Cl 0.2500 0.7500 0.5000
Cl 0.7500 0.2500 0.5000

Mn2AuCl after structural relaxation, computed with PBE-GGA.

As for the uncorrected formation energy: -85 meV per atom. For the energy above the most stable polymorph in this dataset, the calculation gives 0 meV/atom.

Cell: 3.1745 3.3157 7.1655 Å, 90.00 90.00 90.00°
Fractional positions:
Mn 0.0000 0.0000 0.2166
Mn 0.0000 0.0000 0.7834
Au 0.5000 0.5000 0.0000
Cl 0.5000 0.0000 0.5000

NaMn2AuCl8 after structural relaxation, computed with PBE-GGA.

As for the uncorrected formation energy: -865 meV per atom.

Cell: 7.3229 7.3229 7.5960 Å, 90.00 90.00 120.00°
Fractional positions:
Na 0.0000 0.0000 0.0000
Mn 0.3333 0.6667 0.8010
Mn 0.6667 0.3333 0.1990
Au 0.0000 0.0000 0.5000
Cl 0.1571 0.8359 0.7156
Cl 0.1641 0.3212 0.7156
Cl 0.3212 0.1571 0.2844
Cl 0.3333 0.6667 0.0872
Cl 0.6667 0.3333 0.9128
Cl 0.6788 0.8429 0.7156
Cl 0.8359 0.6788 0.2844
Cl 0.8429 0.1641 0.2844

RbMn2AuCl8 after structural relaxation, computed with PBE-GGA.

As for the uncorrected formation energy: -946 meV per atom.

Cell: 6.6430 6.6430 9.2970 Å, 90.00 90.00 120.00°
Fractional positions:
Rb 0.0000 0.0000 0.0000
Mn 0.3333 0.6667 0.7383
Mn 0.6667 0.3333 0.2617
Au 0.0000 0.0000 0.5000
Cl 0.0219 0.3214 0.6695
Cl 0.2995 0.9781 0.6695
Cl 0.3214 0.2995 0.3305
Cl 0.3333 0.6667 0.9782
Cl 0.6667 0.3333 0.0218
Cl 0.6786 0.7005 0.6695
Cl 0.7005 0.0219 0.3305
Cl 0.9781 0.6786 0.3305

RbMnAuCl6 after structural relaxation, computed with PBE-GGA.

As for the uncorrected formation energy: -935 meV per atom.

Cell: 6.5745 6.5937 7.1697 Å, 94.28 94.55 110.44°
Fractional positions:
Rb 0.0000 0.0000 0.0000
Mn 0.6521 0.3484 0.4986
Au 0.3050 0.6945 0.5003
Cl 0.3466 0.0316 0.6820
Cl 0.3657 0.3962 0.3067
Cl 0.6049 0.6317 0.6930
Cl 0.6482 0.0820 0.2848
Cl 0.9192 0.3479 0.7115
Cl 0.9658 0.6536 0.3183

VASP energy list, top to bottom, in eV/cell: -23.27 -51.48 -37.77 -25.47 -23.80 -48.09 -48.71 -32.91